PBE Li4Er3PuTe8, optimized geometry; SG = R-3m; uncorrected formation energy = -1204 meV/atom
1.0
4.338 2.505 7.043
-4.338 2.505 7.043
0.000 -5.009 7.043
Li Er Pu Te
4 3 1 8
direct
0.000 0.000 0.000 Li
0.000 0.500 0.500 Li
0.500 0.000 0.500 Li
0.500 0.500 0.000 Li
0.000 0.000 0.500 Er
0.000 0.500 0.000 Er
0.500 0.000 0.000 Er
0.500 0.500 0.500 Pu
0.245 0.245 0.754 Te
0.245 0.754 0.245 Te
0.246 0.755 0.755 Te
0.251 0.251 0.251 Te
0.749 0.749 0.749 Te
0.754 0.245 0.245 Te
0.755 0.246 0.755 Te
0.755 0.755 0.246 Te


PBE YZn2Au, optimized geometry; ΔH_f (0 K) = -0.22 eV per atom; SG = I-42d
1.0
-2.150 2.150 9.544
2.150 -2.150 9.544
2.150 2.150 -9.544
Y Zn Au
2 4 2
direct
0.000 0.000 0.000 Y
0.750 0.250 0.500 Y
0.218 0.625 0.093 Zn
0.375 0.468 0.593 Zn
0.532 0.125 0.907 Zn
0.875 0.782 0.407 Zn
0.250 0.750 0.500 Au
0.500 0.500 0.000 Au


PBE SmPa2Pt4, optimized geometry; ΔH_f (0 K) = -0.90 eV per atom; SG = C2/c
1.0
1.850 -8.416 0.000
1.850 8.416 0.000
-1.630 0.000 10.031
Sm Pa Pt
2 4 8
direct
0.044 0.956 0.750 Sm
0.956 0.044 0.250 Sm
0.043 0.745 0.051 Pa
0.255 0.957 0.449 Pa
0.745 0.043 0.551 Pa
0.957 0.255 0.949 Pa
0.110 0.512 0.359 Pt
0.405 0.595 0.750 Pt
0.488 0.890 0.141 Pt
0.500 0.500 0.000 Pt
0.500 0.500 0.500 Pt
0.512 0.110 0.859 Pt
0.595 0.405 0.250 Pt
0.890 0.488 0.641 Pt